Compound: Mg3CrN3
Source: the Alexandria database
Functional: PBE
Structure: relaxed

POSCAR file:
```
Mg3CrN3
1.0
6.871 0.000 0.000
-3.435 5.952 0.000
0.000 0.000 4.404
Mg N Cr
6 6 2
direct
0.826 0.172 0.250 Mg
0.174 0.828 0.750 Mg
0.654 0.826 0.750 Mg
0.828 0.654 0.250 Mg
0.172 0.346 0.750 Mg
0.346 0.174 0.250 Mg
0.633 0.816 0.250 N
0.817 0.633 0.750 N
0.184 0.817 0.250 N
0.183 0.367 0.250 N
0.816 0.183 0.750 N
0.367 0.184 0.750 N
0.333 0.667 0.250 Cr
0.667 0.333 0.750 Cr
```

Computed properties:
DFT total energy = -87.847 eV for the cell shown
Size of the total moment = 0.1429 μB per atom
Fermi-level density of states = 0.286 states/eV per atom
Formation energy (no corrections) = -0.65 eV per atom